Entry 1:
Crystalline Hf2TcPt at its relaxed geometry, computed with PBE.

Cell: 8.451 8.451 8.451 Å, 22.05 22.05 22.05°
Positions (direct):
Hf 0.248 0.248 0.248
Hf 0.752 0.752 0.752
Tc 0.500 0.500 0.500
Pt 0.000 0.000 0.000

Computed properties:
The final energy is -38.049 eV/cell. The calculation puts the volume at 18.6 Å³/atom. For the formation energy, the calculation gives -0.434 eV/atom.



Entry 2:
Crystalline CeThPb6 at its relaxed geometry, computed with PBE.

Cell: 4.909 4.909 9.825 Å, 90.00 90.00 90.00°
Positions (direct):
Ce 0.000 0.000 0.000
Th 0.000 0.000 0.500
Pb 0.000 0.500 0.249
Pb 0.000 0.500 0.751
Pb 0.500 0.000 0.249
Pb 0.500 0.000 0.751
Pb 0.500 0.500 0.000
Pb 0.500 0.500 0.500

Computed properties:
The final energy is -37.937 eV/cell. The calculation puts the volume at 29.6 Å³/atom. For the formation energy, the calculation gives -0.292 eV/atom.



Entry 3:
Crystalline NdSiO3 at its relaxed geometry, computed with PBE.

Cell: 6.777 6.777 11.489 Å, 108.05 108.05 59.29°
Positions (direct):
Nd 0.000 0.500 0.500
Nd 0.149 0.706 0.999
Nd 0.294 0.851 0.501
Nd 0.500 0.000 0.000
Nd 0.706 0.149 0.499
Nd 0.851 0.294 0.001
Si 0.084 0.180 0.760
Si 0.180 0.084 0.260
Si 0.345 0.655 0.750
Si 0.655 0.345 0.250
Si 0.820 0.916 0.740
Si 0.916 0.820 0.240
O 0.040 0.267 0.634
O 0.084 0.681 0.748
O 0.131 0.329 0.897
O 0.157 0.843 0.250
O 0.267 0.040 0.134
O 0.319 0.916 0.752
O 0.329 0.131 0.397
O 0.410 0.499 0.615
O 0.499 0.410 0.115
O 0.501 0.590 0.885
O 0.590 0.501 0.385
O 0.671 0.869 0.603
O 0.681 0.084 0.248
O 0.733 0.960 0.866
O 0.843 0.157 0.750
O 0.869 0.671 0.103
O 0.916 0.319 0.252
O 0.960 0.733 0.366

Computed properties:
The final energy is -232.852 eV/cell. The calculation puts the volume at 14.1 Å³/atom. Its formation energy without anion corrections is -2.749 eV per atom.



Entry 4:
Crystalline Er4Pb at its relaxed geometry, computed with PBE.

Cell: 8.670 6.581 9.955 Å, 59.12 40.65 80.23°
Positions (direct):
Er 0.126 0.830 0.071
Er 0.179 0.278 0.124
Er 0.275 0.725 0.324
Er 0.278 0.179 0.420
Er 0.574 0.926 0.525
Er 0.725 0.275 0.676
Er 0.830 0.126 0.972
Er 0.926 0.574 0.975
Pb 0.457 0.457 0.543
Pb 0.707 0.707 0.793

Computed properties:
The calculation puts the polymorph energy (0 for the lowest one) at 62.1 meV per atom. The final energy is -45.279 eV/cell. The calculation puts the volume at 29.2 Å³/atom. For the formation energy, the calculation gives -0.136 eV/atom.



Entry 5:
Crystalline Ba12P5Au3 at its relaxed geometry, computed with PBE.

Cell: 16.754 16.754 16.754 Å, 109.47 109.47 109.47°
Positions (direct):
Ba 0.038 0.212 0.128
Ba 0.038 0.327 0.910
Ba 0.083 0.712 0.673
Ba 0.083 0.872 0.410
Ba 0.090 0.628 0.417
Ba 0.090 0.962 0.673
Ba 0.128 0.038 0.212
Ba 0.128 0.590 0.917
Ba 0.173 0.212 0.583
Ba 0.173 0.462 0.590
Ba 0.212 0.128 0.038
Ba 0.212 0.583 0.173
Ba 0.288 0.327 0.917
Ba 0.288 0.462 0.372
Ba 0.327 0.910 0.038
Ba 0.327 0.917 0.288
Ba 0.372 0.288 0.462
Ba 0.372 0.583 0.910
Ba 0.410 0.083 0.872
Ba 0.410 0.827 0.538
Ba 0.417 0.090 0.628
Ba 0.417 0.827 0.788
Ba 0.462 0.372 0.288
Ba 0.462 0.590 0.173
Ba 0.538 0.410 0.827
Ba 0.538 0.628 0.712
Ba 0.583 0.173 0.212
Ba 0.583 0.910 0.372
Ba 0.590 0.173 0.462
Ba 0.590 0.917 0.128
Ba 0.628 0.417 0.090
Ba 0.628 0.712 0.538
Ba 0.673 0.083 0.712
Ba 0.673 0.090 0.962
Ba 0.712 0.538 0.628
Ba 0.712 0.673 0.083
Ba 0.788 0.417 0.827
Ba 0.788 0.872 0.962
Ba 0.827 0.538 0.410
Ba 0.827 0.788 0.417
Ba 0.872 0.410 0.083
Ba 0.872 0.962 0.788
Ba 0.910 0.038 0.327
Ba 0.910 0.372 0.583
Ba 0.917 0.128 0.590
Ba 0.917 0.288 0.327
Ba 0.962 0.673 0.090
Ba 0.962 0.788 0.872
P 0.000 0.000 0.000
P 0.000 0.000 0.500
P 0.000 0.500 0.000
P 0.000 0.500 0.500
P 0.125 0.750 0.875
P 0.125 0.875 0.250
P 0.250 0.125 0.875
P 0.250 0.625 0.375
P 0.375 0.250 0.625
P 0.375 0.625 0.750
P 0.500 0.000 0.000
P 0.500 0.000 0.500
P 0.500 0.500 0.000
P 0.500 0.500 0.500
P 0.625 0.375 0.250
P 0.625 0.750 0.375
P 0.750 0.375 0.625
P 0.750 0.875 0.125
P 0.875 0.125 0.750
P 0.875 0.250 0.125
Au 0.125 0.250 0.375
Au 0.125 0.375 0.750
Au 0.250 0.375 0.125
Au 0.250 0.875 0.625
Au 0.375 0.125 0.250
Au 0.375 0.750 0.125
Au 0.625 0.250 0.875
Au 0.625 0.875 0.750
Au 0.750 0.125 0.375
Au 0.750 0.625 0.875
Au 0.875 0.625 0.250
Au 0.875 0.750 0.625

Computed properties:
The final energy is -291.222 eV/cell. The calculation puts the volume at 45.3 Å³/atom. For the formation energy, the calculation gives -0.643 eV/atom.



Entry 6:
Crystalline BaSbN at its relaxed geometry, computed with PBE.

Cell: 5.066 5.066 8.157 Å, 104.83 104.83 60.94°
Positions (direct):
Ba 0.099 0.099 0.298
Ba 0.901 0.901 0.702
Sb 0.322 0.322 0.979
Sb 0.678 0.678 0.021
N 0.428 0.428 0.469
N 0.572 0.572 0.531

Computed properties:
The final energy is -31.565 eV/cell. The calculation puts the volume at 29.1 Å³/atom. Its formation energy without anion corrections is -0.471 eV per atom.



Entry 7:
Crystalline Ce2Th2Sb5 at its relaxed geometry, computed with PBE.

Cell: 8.954 8.954 8.355 Å, 90.00 90.00 55.43°
Positions (direct):
Ce 0.150 0.850 0.847
Ce 0.350 0.650 0.347
Ce 0.650 0.350 0.653
Ce 0.850 0.150 0.153
Th 0.195 0.195 0.500
Th 0.305 0.305 0.000
Th 0.695 0.695 0.000
Th 0.805 0.805 0.500
Sb 0.000 0.000 0.500
Sb 0.017 0.705 0.154
Sb 0.205 0.517 0.654
Sb 0.295 0.983 0.154
Sb 0.483 0.795 0.654
Sb 0.500 0.500 0.000
Sb 0.517 0.205 0.346
Sb 0.705 0.017 0.846
Sb 0.795 0.483 0.346
Sb 0.983 0.295 0.846

Computed properties:
The final energy is -110.972 eV/cell. The calculation puts the volume at 30.6 Å³/atom. Its formation energy without anion corrections is -0.907 eV per atom.



Entry 8:
Crystalline CoRu2Se at its relaxed geometry, computed with PBE.

Cell: 4.626 4.626 4.626 Å, 131.36 131.36 71.25°
Positions (direct):
Co 0.000 0.000 0.000
Ru 0.250 0.750 0.500
Ru 0.500 0.500 0.000
Se 0.750 0.250 0.500

Computed properties:
The final energy is -27.480 eV/cell. The calculation puts the volume at 13.6 Å³/atom. Its formation energy without anion corrections is 0.416 eV per atom.



Entry 9:
Crystalline HoTm2Tl5 at its relaxed geometry, computed with PBE.

Cell: 6.571 6.571 6.571 Å, 107.92 107.92 112.61°
Positions (direct):
Ho 0.000 0.000 0.000
Tm 0.001 0.501 0.500
Tm 0.501 0.001 0.500
Tl 0.001 0.001 0.500
Tl 0.001 0.500 0.000
Tl 0.500 0.001 0.000
Tl 0.500 0.500 0.500
Tl 0.501 0.501 0.000

Computed properties:
The final energy is -27.064 eV/cell. The calculation puts the volume at 27.2 Å³/atom. For the formation energy, the calculation gives -0.214 eV/atom.



Entry 10:
Crystalline Dy4Tm2Tl3H2 at its relaxed geometry, computed with PBE.

Cell: 12.671 12.671 12.671 Å, 158.58 158.58 30.48°
Positions (direct):
Dy 0.086 0.586 0.500
Dy 0.414 0.914 0.500
Dy 0.586 0.086 0.500
Dy 0.914 0.414 0.500
Tm 0.198 0.198 0.000
Tm 0.802 0.802 0.000
Tl 0.324 0.324 0.000
Tl 0.500 0.500 0.000
Tl 0.676 0.676 0.000
H 0.104 0.104 0.000
H 0.896 0.896 0.000

Computed properties:
The final energy is -43.968 eV/cell. The calculation puts the volume at 24.7 Å³/atom.



Entry 11:
Crystalline Gd2AlTe at its relaxed geometry, computed with PBE.

Cell: 8.164 8.164 8.164 Å, 29.30 29.30 29.30°
Positions (direct):
Gd 0.248 0.248 0.248
Gd 0.752 0.752 0.752
Al 0.500 0.500 0.500
Te 0.000 0.000 0.000

Computed properties:
The calculation puts the polymorph energy (0 for the lowest one) at 0.0 meV per atom. The final energy is -38.159 eV/cell. The calculation puts the volume at 28.8 Å³/atom. Its formation energy without anion corrections is -0.778 eV per atom.



Entry 12:
Crystalline Sm2ThIn3 at its relaxed geometry, computed with PBE.

Cell: 3.568 3.568 13.280 Å, 90.00 90.00 90.00°
Positions (direct):
Sm 0.000 0.000 0.164
Sm 0.000 0.000 0.836
Th 0.000 0.000 0.500
In 0.500 0.500 0.000
In 0.500 0.500 0.329
In 0.500 0.500 0.671

Computed properties:
The final energy is -27.578 eV/cell. The calculation puts the volume at 28.2 Å³/atom. For the formation energy, the calculation gives -0.417 eV/atom.